Pr2SmCo2 | PBE | relaxed

Output
- Uncorrected energy: -28.5 eV for the cell shown
- Energy of formation: -0.0063 eV/atom
- Size of the total moment: 0.188 μB per atom
- N(E_F): 6.0 states/eV per cell

Cell: 4.2036 4.0869 7.5296 Å, 105.75 90.00 90.00°
With the nearest neighbours (Å) after each atom.
Positions (direct):
Sm 0.0000 0.0000 0.0000  2 Co 3.09
Co 0.0000 0.2129 0.4259  2 Co 2.31
Co 0.0000 0.7871 0.5741  2 Co 2.31
Pr 0.5000 0.6452 0.2904  6 Co 2.94-3.09
Pr 0.5000 0.3548 0.7096  6 Co 2.94-3.09